A relaxed BeIr2I crystal, computed with PBE-GGA.

Unit cell a=6.312 b=6.312 c=6.312 alpha=90.00 beta=90.00 gamma=90.00
Space group Fm-3m (No. 225)
Asymmetric unit:
Be 0.000 0.000 0.000 x4
Ir 0.250 0.250 0.250 x8
I 0.000 0.000 0.500 x4

Calculated values
- total DFT energy (no corrections) (eV per cell) = -77.95
- formation energy (no corrections) (meV/atom) = 878
- calculated volume (Å³/cell) = 251.4
- distance to the lowest polymorph of the same formula (eV/f.u.) = 0.78